1.
A geometry-optimized DyGaSiNi3 structure. Source: the Alexandria database, functional PBE-GGA.

Cell: 6.460 6.460 5.363 Å, 90.00 90.00 122.88°
Atoms (fractional coordinates):
Dy1 0.209 0.791 0.750
Dy2 0.791 0.209 0.250
Ga1 0.459 0.541 0.750
Ga2 0.541 0.459 0.250
Si1 0.129 0.871 0.250
Si2 0.871 0.129 0.750
Ni1 0.197 0.197 0.000
Ni2 0.197 0.197 0.500
Ni3 0.329 0.671 0.250
Ni4 0.671 0.329 0.750
Ni5 0.803 0.803 0.000
Ni6 0.803 0.803 0.500

Computed properties:
As for the space group: No. 63. Its uncorrected formation energy is -240 kJ/mol of formula units. The raw total energy comes out at -5.481 eV per atom.

---

2.
A geometry-optimized Y3MgPd structure. Source: the Alexandria database, functional PBE-GGA.

Cell: 5.448 5.448 5.448 Å, 90.00 90.00 90.00°
Atoms (fractional coordinates):
Y1 0.000 0.000 0.500
Y2 0.000 0.500 0.000
Y3 0.500 0.000 0.000
Mg1 0.500 0.500 0.500
Pd1 0.000 0.000 0.000

Computed properties:
As for the space group: No. 221. Its energy relative to the lowest polymorph listed for this composition is 0.00 eV per formula unit. The raw total energy comes out at -5.359 eV per atom. The calculation puts the energy relative to the elements at -123 meV/atom.

---

3.
A geometry-optimized NaPd2Pt2 structure. Source: the Alexandria database, functional PBE-GGA.

Cell: 7.957 7.957 2.746 Å, 90.00 90.00 90.00°
Atoms (fractional coordinates):
Na1 0.000 0.000 0.000
Na2 0.500 0.500 0.000
Pd1 0.126 0.374 0.000
Pd2 0.374 0.874 0.000
Pd3 0.626 0.126 0.000
Pd4 0.874 0.626 0.000
Pt1 0.173 0.673 0.500
Pt2 0.327 0.173 0.500
Pt3 0.673 0.827 0.500
Pt4 0.827 0.327 0.500

Computed properties:
As for the space group: No. 127. Its energy relative to the lowest polymorph listed for this composition is 0.04 eV per formula unit. The raw total energy comes out at -4.837 eV per atom. The calculation puts the energy relative to the elements at -79 meV/atom.

---

4.
A geometry-optimized Li4ZnP2S8 structure. Source: the Alexandria database, functional PBE-GGA.

Cell: 6.144 10.346 10.355 Å, 101.20 102.88 93.29°
Atoms (fractional coordinates):
Li1 0.000 0.000 0.000
Li2 0.005 0.307 0.963
Li3 0.173 0.302 0.351
Li4 0.242 0.771 0.500
Li5 0.384 0.141 0.753
Li6 0.501 0.522 0.002
Li7 0.606 0.554 0.340
Li8 0.760 0.261 0.517
Zn1 0.637 0.900 0.254
Zn2 0.888 0.641 0.754
P1 0.088 0.705 0.133
P2 0.325 0.462 0.635
P3 0.566 0.209 0.128
P4 0.803 0.945 0.629
S1 0.025 0.065 0.791
S2 0.026 0.435 0.696
S3 0.097 0.776 0.961
S4 0.202 0.524 0.126
S5 0.235 0.197 0.139
S6 0.278 0.848 0.292
S7 0.283 0.534 0.462
S8 0.402 0.271 0.581
S9 0.501 0.930 0.673
S10 0.535 0.590 0.797
S11 0.597 0.291 0.965
S12 0.658 0.019 0.086
S13 0.761 0.330 0.302
S14 0.768 0.691 0.175
S15 0.837 0.028 0.465
S16 0.894 0.753 0.577

Computed properties:
As for the space group: No. 1. Its uncorrected formation energy is -1148 kJ/mol of formula units. The raw total energy comes out at -4.311 eV per atom.